## K2PrNdS4 (PBE)

Data for a relaxed structure of K2PrNdS4.

Total moment, μB per formula unit: 0.00
Raw formation energy, eV per atom: -1.8462

Geometry as CIF:
```
data_K2PrNdS4
_space_group_name_H-M_alt 'P 1 2/m 1'
_space_group_IT_number 10
_cell_length_a 7.299
_cell_length_b 4.213
_cell_length_c 7.791
_cell_angle_alpha 90.00
_cell_angle_beta 108.17
_cell_angle_gamma 90.00
loop_
_space_group_symop_operation_xyz
'x,y,z'
'-x,-y,-z'
'-x,y,-z'
'x,-y,z'
loop_
_atom_site_label
_atom_site_type_symbol
_atom_site_fract_x
_atom_site_fract_y
_atom_site_fract_z
K1 K 0.000 0.000 0.000
K2 K 0.500 0.500 0.000
Pr1 Pr 0.000 0.500 0.500
Nd1 Nd 0.500 0.000 0.500
S1 S 0.238 0.000 0.708
S2 S 0.266 0.500 0.292
```

## MnBiAs2P (PBE)

Data for a relaxed structure of MnBiAs2P.

DFT formation energy, meV/atom: 469
Total moment, μB per formula unit: 0.32

Geometry as CIF:
```
data_MnBiAs2P
_space_group_name_H-M_alt 'P 4/m m m'
_space_group_IT_number 123
_space_group_name_Hall '-P 4 2'
_cell_length_a 4.413
_cell_length_b 4.413
_cell_length_c 5.554
_cell_angle_alpha 90.00
_cell_angle_beta 90.00
_cell_angle_gamma 90.00
loop_
_atom_site_label
_atom_site_type_symbol
_atom_site_fract_x
_atom_site_fract_y
_atom_site_fract_z
Mn1 Mn 0.000 0.000 0.000
Bi1 Bi 0.000 0.000 0.500
As1 As 0.000 0.500 0.000
P1 P 0.500 0.500 0.500
```

## CrSb2As (PBE)

Data for a relaxed structure of CrSb2As.

Total moment, μB per formula unit: 3.69
Raw formation energy, eV per atom: 0.3676

Geometry as CIF:
```
data_CrSb2As
_space_group_name_H-M_alt 'C 1 2/m 1'
_space_group_IT_number 12
_cell_length_a 6.320
_cell_length_b 7.706
_cell_length_c 3.628
_cell_angle_alpha 90.00
_cell_angle_beta 90.87
_cell_angle_gamma 90.00
loop_
_space_group_symop_operation_xyz
'x,y,z'
'-x,-y,-z'
'-x,y,-z'
'x,-y,z'
'x+1/2,y+1/2,z'
'-x+1/2,-y+1/2,-z'
'-x+1/2,y+1/2,-z'
'x+1/2,-y+1/2,z'
loop_
_atom_site_label
_atom_site_type_symbol
_atom_site_fract_x
_atom_site_fract_y
_atom_site_fract_z
Cr1 Cr 0.000 0.000 0.000
Sb1 Sb 0.250 0.250 0.500
As1 As 0.000 0.500 0.000
```

## Nd7Tm12Pu (PBE)

Data for a relaxed structure of Nd7Tm12Pu.

DFT formation energy, meV/atom: 89
Total moment, μB per formula unit: 6.49

Geometry as CIF:
```
data_Nd7Tm12Pu
_space_group_name_H-M_alt 'P -1'
_space_group_IT_number 2
_cell_length_a 8.776
_cell_length_b 8.823
_cell_length_c 10.237
_cell_angle_alpha 106.03
_cell_angle_beta 104.01
_cell_angle_gamma 113.24
loop_
_space_group_symop_operation_xyz
'x,y,z'
'-x,-y,-z'
loop_
_atom_site_label
_atom_site_type_symbol
_atom_site_fract_x
_atom_site_fract_y
_atom_site_fract_z
Nd1 Nd 0.000 0.000 0.000
Nd2 Nd 0.257 0.450 0.358
Nd3 Nd 0.406 0.100 0.860
Nd4 Nd 0.450 0.195 0.259
Tm1 Tm 0.045 0.988 0.345
Tm2 Tm 0.098 0.716 0.510
Tm3 Tm 0.151 0.702 0.161
Tm4 Tm 0.177 0.657 0.830
Tm5 Tm 0.295 0.416 0.010
Tm6 Tm 0.329 0.348 0.669
Pu1 Pu 0.500 0.000 0.500
```

## Pm4CoRh2 (PBE)

Data for a relaxed structure of Pm4CoRh2.

DFT formation energy, meV/atom: -403
Total moment, μB per formula unit: 0.00
Relative energy among the computed polymorphs, meV/atom: 0

Geometry as CIF:
```
data_Pm4CoRh2
_space_group_name_H-M_alt 'C 1 2/m 1'
_space_group_IT_number 12
_cell_length_a 13.619
_cell_length_b 4.329
_cell_length_c 7.132
_cell_angle_alpha 90.00
_cell_angle_beta 120.52
_cell_angle_gamma 90.00
loop_
_space_group_symop_operation_xyz
'x,y,z'
'-x,-y,-z'
'-x,y,-z'
'x,-y,z'
'x+1/2,y+1/2,z'
'-x+1/2,-y+1/2,-z'
'-x+1/2,y+1/2,-z'
'x+1/2,-y+1/2,z'
loop_
_atom_site_label
_atom_site_type_symbol
_atom_site_fract_x
_atom_site_fract_y
_atom_site_fract_z
Pm1 Pm 0.113 0.000 0.292
Pm2 Pm 0.137 0.500 0.792
Co1 Co 0.000 0.500 0.000
Rh1 Rh 0.233 0.500 0.241
```

## GdTmPa (PBE)

Data for a relaxed structure of GdTmPa.

DFT formation energy, meV/atom: 114
Total moment, μB per formula unit: 7.20
Relative energy among the computed polymorphs, meV/atom: 0

Geometry as CIF:
```
data_GdTmPa
_space_group_name_H-M_alt 'P 3 m 1'
_space_group_IT_number 156
_cell_length_a 3.4110
_cell_length_b 3.4110
_cell_length_c 8.4971
_cell_angle_alpha 90.00
_cell_angle_beta 90.00
_cell_angle_gamma 120.00
loop_
_space_group_symop_operation_xyz
'x,y,z'
'-y,x-y,z'
'-x+y,-x,z'
'-y,-x,z'
'-x+y,y,z'
'x,x-y,z'
loop_
_atom_site_label
_atom_site_type_symbol
_atom_site_fract_x
_atom_site_fract_y
_atom_site_fract_z
Gd1 Gd 0.0000 0.0000 0.0000
Tm1 Tm 0.3333 0.6667 0.6389
Pa1 Pa 0.6667 0.3333 0.3213
```

## Cs2TmCuCl6 (PBE)

Data for a relaxed structure of Cs2TmCuCl6.

Total moment, μB per formula unit: 0.06
Raw formation energy, eV per atom: -1.8192
Relative energy among the computed polymorphs, meV/atom: 0

Geometry as CIF:
```
data_Cs2TmCuCl6
_space_group_name_H-M_alt 'I 4/m m m'
_space_group_IT_number 139
_space_group_name_Hall '-I 4 2'
_cell_length_a 8.025
_cell_length_b 8.025
_cell_length_c 9.655
_cell_angle_alpha 90.00
_cell_angle_beta 90.00
_cell_angle_gamma 90.00
loop_
_atom_site_label
_atom_site_type_symbol
_atom_site_fract_x
_atom_site_fract_y
_atom_site_fract_z
Cs1 Cs 0.000 0.500 0.250
Tm1 Tm 0.000 0.000 0.000
Cu1 Cu 0.000 0.000 0.500
Cl1 Cl 0.000 0.000 0.274
Cl2 Cl 0.228 0.228 0.000
```

## MoPt6Au (PBE)

Data for a relaxed structure of MoPt6Au.

DFT formation energy, meV/atom: -168
Total moment, μB per formula unit: 0.00

Geometry as CIF:
```
data_MoPt6Au
_space_group_name_H-M_alt 'P 4/m m m'
_space_group_IT_number 123
_space_group_name_Hall '-P 4 2'
_cell_length_a 3.995
_cell_length_b 3.995
_cell_length_c 7.966
_cell_angle_alpha 90.00
_cell_angle_beta 90.00
_cell_angle_gamma 90.00
loop_
_atom_site_label
_atom_site_type_symbol
_atom_site_fract_x
_atom_site_fract_y
_atom_site_fract_z
Mo1 Mo 0.000 0.000 0.000
Pt1 Pt 0.000 0.500 0.238
Pt2 Pt 0.500 0.500 0.000
Pt3 Pt 0.500 0.500 0.500
Au1 Au 0.000 0.000 0.500
```

## Cd2IrW (PBE)

Data for a relaxed structure of Cd2IrW.

DFT formation energy, meV/atom: 568
Total moment, μB per formula unit: 0.00
Relative energy among the computed polymorphs, meV/atom: 491

Geometry as CIF:
```
data_Cd2IrW
_space_group_name_H-M_alt 'P m m m'
_space_group_IT_number 47
_cell_length_a 2.879
_cell_length_b 4.527
_cell_length_c 5.412
_cell_angle_alpha 90.00
_cell_angle_beta 90.00
_cell_angle_gamma 90.00
loop_
_space_group_symop_operation_xyz
'x,y,z'
'-x,-y,-z'
'-x,-y,z'
'x,y,-z'
'x,-y,-z'
'-x,y,z'
'-x,y,-z'
'x,-y,z'
loop_
_atom_site_label
_atom_site_type_symbol
_atom_site_fract_x
_atom_site_fract_y
_atom_site_fract_z
Cd1 Cd 0.000 0.000 0.248
Ir1 Ir 0.500 0.500 0.000
W1 W 0.500 0.500 0.500
```

## Ho3CdHg (PBE)

Data for a relaxed structure of Ho3CdHg.

DFT formation energy, meV/atom: -166
Total moment, μB per formula unit: 0.00
Relative energy among the computed polymorphs, meV/atom: 129

Geometry as CIF:
```
data_Ho3CdHg
_space_group_name_H-M_alt 'C 1 2/c 1'
_space_group_IT_number 15
_cell_length_a 9.816
_cell_length_b 7.695
_cell_length_c 15.332
_cell_angle_alpha 90.00
_cell_angle_beta 105.03
_cell_angle_gamma 90.00
loop_
_space_group_symop_operation_xyz
'x,y,z'
'-x,-y,-z'
'-x,y,-z+1/2'
'x,-y,z+1/2'
'x+1/2,y+1/2,z'
'-x+1/2,-y+1/2,-z'
'-x+1/2,y+1/2,-z+1/2'
'x+1/2,-y+1/2,z+1/2'
loop_
_atom_site_label
_atom_site_type_symbol
_atom_site_fract_x
_atom_site_fract_y
_atom_site_fract_z
Ho1 Ho 0.075 0.244 0.155
Ho2 Ho 0.163 0.438 0.960
Ho3 Ho 0.173 0.256 0.636
Cd1 Cd 0.128 0.079 0.829
Hg1 Hg 0.000 0.000 0.000
Hg2 Hg 0.000 0.441 0.750
```

## Ba4CdAg3 (PBE)

Data for a relaxed structure of Ba4CdAg3.

DFT formation energy, meV/atom: -275
Total moment, μB per formula unit: 0.00

Geometry as CIF:
```
data_Ba4CdAg3
_space_group_name_H-M_alt 'P m m 2'
_space_group_IT_number 25
_cell_length_a 4.731
_cell_length_b 5.062
_cell_length_c 12.756
_cell_angle_alpha 90.00
_cell_angle_beta 90.00
_cell_angle_gamma 90.00
loop_
_space_group_symop_operation_xyz
'x,y,z'
'-x,-y,z'
'-x,y,z'
'x,-y,z'
loop_
_atom_site_label
_atom_site_type_symbol
_atom_site_fract_x
_atom_site_fract_y
_atom_site_fract_z
Ba1 Ba 0.000 0.000 0.000
Ba2 Ba 0.000 0.500 0.271
Ba3 Ba 0.500 0.000 0.489
Ba4 Ba 0.500 0.500 0.777
Cd1 Cd 0.000 0.000 0.699
Ag1 Ag 0.000 0.500 0.568
Ag2 Ag 0.500 0.000 0.201
Ag3 Ag 0.500 0.500 0.070
```

## Cs3GaBi (PBE)

Data for a relaxed structure of Cs3GaBi.

DFT formation energy, meV/atom: 220
Total moment, μB per formula unit: 1.00
Relative energy among the computed polymorphs, meV/atom: 372

Geometry as CIF:
```
data_Cs3GaBi
_space_group_name_H-M_alt 'P m -3 m'
_space_group_IT_number 221
_space_group_name_Hall '-P 4 2 3'
_cell_length_a 7.533
_cell_length_b 7.533
_cell_length_c 7.533
_cell_angle_alpha 90.00
_cell_angle_beta 90.00
_cell_angle_gamma 90.00
loop_
_atom_site_label
_atom_site_type_symbol
_atom_site_fract_x
_atom_site_fract_y
_atom_site_fract_z
Cs1 Cs 0.000 0.000 0.500
Ga1 Ga 0.500 0.500 0.500
Bi1 Bi 0.000 0.000 0.000
```

## Na2SrH8Pt (PBE)

Data for a relaxed structure of Na2SrH8Pt.

E, eV/atom: -3.444
Total moment, μB per formula unit: 0.00

Geometry as CIF:
```
data_Na2SrH8Pt
_space_group_name_H-M_alt 'P -3 m 1'
_space_group_IT_number 164
_space_group_name_Hall '-P 3 2"'
_cell_length_a 4.8608
_cell_length_b 4.8608
_cell_length_c 6.8070
_cell_angle_alpha 90.00
_cell_angle_beta 90.00
_cell_angle_gamma 120.00
loop_
_atom_site_label
_atom_site_type_symbol
_atom_site_fract_x
_atom_site_fract_y
_atom_site_fract_z
Na1 Na 0.3333 0.6667 0.3374
Sr1 Sr 0.0000 0.0000 0.0000
H1 H 0.1591 0.3182 0.6422
H2 H 0.3333 0.6667 0.0201
Pt1 Pt 0.0000 0.0000 0.5000
```

## Li2Mg2Al (PBE)

Data for a relaxed structure of Li2Mg2Al.

DFT formation energy, meV/atom: 250
Total moment, μB per formula unit: 0.00
Relative energy among the computed polymorphs, meV/atom: 331

Geometry as CIF:
```
data_Li2Mg2Al
_space_group_name_H-M_alt 'I 4/m m m'
_space_group_IT_number 139
_space_group_name_Hall '-I 4 2'
_cell_length_a 3.936
_cell_length_b 3.936
_cell_length_c 14.063
_cell_angle_alpha 90.00
_cell_angle_beta 90.00
_cell_angle_gamma 90.00
loop_
_atom_site_label
_atom_site_type_symbol
_atom_site_fract_x
_atom_site_fract_y
_atom_site_fract_z
Li1 Li 0.000 0.000 0.089
Mg1 Mg 0.000 0.500 0.250
Al1 Al 0.000 0.000 0.500
```

## ZnPtCl2 (PBE)

Data for a relaxed structure of ZnPtCl2.

Total moment, μB per formula unit: 0.00
Raw formation energy, eV per atom: -0.4087
Relative energy among the computed polymorphs, meV/atom: 0

Geometry as CIF:
```
data_ZnPtCl2
_space_group_name_H-M_alt 'A m m 2'
_space_group_IT_number 38
_cell_length_a 3.875
_cell_length_b 4.299
_cell_length_c 11.950
_cell_angle_alpha 90.00
_cell_angle_beta 90.00
_cell_angle_gamma 90.00
loop_
_space_group_symop_operation_xyz
'x,y,z'
'-x,-y,z'
'-x,y,z'
'x,-y,z'
'x,y+1/2,z+1/2'
'-x,-y+1/2,z+1/2'
'-x,y+1/2,z+1/2'
'x,-y+1/2,z+1/2'
loop_
_atom_site_label
_atom_site_type_symbol
_atom_site_fract_x
_atom_site_fract_y
_atom_site_fract_z
Zn1 Zn 0.000 0.000 0.000
Pt1 Pt 0.500 0.000 0.866
Cl1 Cl 0.000 0.000 0.597
Cl2 Cl 0.500 0.000 0.314
```

## TbNdPbAu (PBE)

Data for a relaxed structure of TbNdPbAu.

DFT formation energy, meV/atom: -610
Total moment, μB per formula unit: 0.85

Geometry as CIF:
```
data_TbNdPbAu
_space_group_name_H-M_alt 'F -4 3 m'
_space_group_IT_number 216
_space_group_name_Hall 'F -4 2 3'
_cell_length_a 7.573
_cell_length_b 7.573
_cell_length_c 7.573
_cell_angle_alpha 90.00
_cell_angle_beta 90.00
_cell_angle_gamma 90.00
loop_
_atom_site_label
_atom_site_type_symbol
_atom_site_fract_x
_atom_site_fract_y
_atom_site_fract_z
Tb1 Tb 0.000 0.000 0.000
Nd1 Nd 0.000 0.000 0.500
Pb1 Pb 0.250 0.250 0.750
Au1 Au 0.250 0.250 0.250
```

## PmNiPb2 (PBE)

Data for a relaxed structure of PmNiPb2.

DFT formation energy, meV/atom: 191
Total moment, μB per formula unit: 0.00

Geometry as CIF:
```
data_PmNiPb2
_space_group_name_H-M_alt 'R -3 m'
_space_group_IT_number 166
_space_group_name_Hall '-R 3 2"'
_cell_length_a 3.5471
_cell_length_b 3.5471
_cell_length_c 30.3272
_cell_angle_alpha 90.00
_cell_angle_beta 90.00
_cell_angle_gamma 120.00
loop_
_atom_site_label
_atom_site_type_symbol
_atom_site_fract_x
_atom_site_fract_y
_atom_site_fract_z
Pm1 Pm 0.0000 0.0000 0.0000
Ni1 Ni 0.0000 0.0000 0.5000
Pb1 Pb 0.0000 0.0000 0.1071
```

## NdSm2Rh9 (PBE)

Data for a relaxed structure of NdSm2Rh9.

DFT formation energy, meV/atom: -527
Total moment, μB per formula unit: 0.00

Geometry as CIF:
```
data_NdSm2Rh9
_space_group_name_H-M_alt 'R -3 m'
_space_group_IT_number 166
_space_group_name_Hall '-R 3 2"'
_cell_length_a 5.3121
_cell_length_b 5.3121
_cell_length_c 26.4950
_cell_angle_alpha 90.00
_cell_angle_beta 90.00
_cell_angle_gamma 120.00
loop_
_atom_site_label
_atom_site_type_symbol
_atom_site_fract_x
_atom_site_fract_y
_atom_site_fract_z
Nd1 Nd 0.0000 0.0000 0.0000
Sm1 Sm 0.0000 0.0000 0.1390
Rh1 Rh 0.0000 0.0000 0.3328
Rh2 Rh 0.0000 0.0000 0.5000
Rh3 Rh 0.0005 0.5002 0.0821
```

## TlBr3N (PBE)

Data for a relaxed structure of TlBr3N.

Total moment, μB per formula unit: 2.96
Raw formation energy, eV per atom: 0.6651
Relative energy among the computed polymorphs, meV/atom: 139

Geometry as CIF:
```
data_TlBr3N
_space_group_name_H-M_alt 'P -1'
_space_group_IT_number 2
_cell_length_a 7.659
_cell_length_b 7.763
_cell_length_c 7.845
_cell_angle_alpha 86.36
_cell_angle_beta 64.55
_cell_angle_gamma 78.22
loop_
_space_group_symop_operation_xyz
'x,y,z'
'-x,-y,-z'
loop_
_atom_site_label
_atom_site_type_symbol
_atom_site_fract_x
_atom_site_fract_y
_atom_site_fract_z
Tl1 Tl 0.194 0.069 0.092
Br1 Br 0.027 0.288 0.373
Br2 Br 0.146 0.123 0.778
Br3 Br 0.437 0.772 0.091
N1 N 0.273 0.539 0.823
```

## K3Be2H7 (PBE)

Data for a relaxed structure of K3Be2H7.

E, eV/atom: -2.851
Total moment, μB per formula unit: 0.00

Geometry as CIF:
```
data_K3Be2H7
_space_group_name_H-M_alt 'P 1 2/m 1'
_space_group_IT_number 10
_cell_length_a 4.648
_cell_length_b 3.124
_cell_length_c 11.803
_cell_angle_alpha 90.00
_cell_angle_beta 96.59
_cell_angle_gamma 90.00
loop_
_space_group_symop_operation_xyz
'x,y,z'
'-x,-y,-z'
'-x,y,-z'
'x,-y,z'
loop_
_atom_site_label
_atom_site_type_symbol
_atom_site_fract_x
_atom_site_fract_y
_atom_site_fract_z
K1 K 0.000 0.000 0.000
K2 K 0.219 0.500 0.389
Be1 Be 0.287 0.000 0.727
H1 H 0.007 0.000 0.759
H2 H 0.289 0.000 0.600
H3 H 0.400 0.500 0.751
H4 H 0.500 0.500 0.000
```